[1]
# Ca4UPa3P8

Ca4UPa3P8 after structural relaxation (PBE, the Alexandria database).

The structure in POSCAR format:
```
Ca4UPa3P8
1.0
4.0505 2.3386 6.6319
-4.0505 2.3386 6.6319
0.0000 -4.6772 6.6319
Ca U Pa P
4 1 3 8
Direct
0.0000 0.0000 0.0000 Ca
0.0000 0.5000 0.5000 Ca
0.5000 0.0000 0.5000 Ca
0.5000 0.5000 0.0000 Ca
0.5000 0.5000 0.5000 U
0.0000 0.0000 0.5000 Pa
0.0000 0.5000 0.0000 Pa
0.5000 0.0000 0.0000 Pa
0.2426 0.7437 0.7437 P
0.2436 0.2436 0.2436 P
0.2563 0.2563 0.7574 P
0.2563 0.7574 0.2563 P
0.7437 0.2426 0.7437 P
0.7437 0.7437 0.2426 P
0.7564 0.7564 0.7564 P
0.7574 0.2563 0.2563 P
```

## Properties
SG: R-3m (166)
ΔH_f (0 K) in eV/f.u.: -19.2
Size of the total moment in μB per formula unit: 3.63

=====

[2]
# CaYPa2P4

CaYPa2P4 after structural relaxation (PBE, the Alexandria database).

The structure in POSCAR format:
```
CaYPa2P4
1.0
-2.8244 2.8244 5.6879
2.8244 -2.8244 5.6879
2.8244 2.8244 -5.6879
Ca Y Pa P
1 1 2 4
Direct
0.0000 0.0000 0.0000 Ca
0.2500 0.7500 0.5000 Y
0.5000 0.5000 0.0000 Pa
0.7500 0.2500 0.5000 Pa
0.2559 0.2559 0.0000 P
0.5037 0.0037 0.5000 P
0.7441 0.7441 0.0000 P
0.9963 0.4963 0.5000 P
```

## Properties
SG: I-4m2 (119)
ΔH_f (0 K) in eV/f.u.: -10.8
Size of the total moment in μB per formula unit: 0.03

=====

[3]
# Ca4YPa3P8

Ca4YPa3P8 after structural relaxation (PBE, the Alexandria database).

The structure in POSCAR format:
```
Ca4YPa3P8
1.0
4.0610 2.3446 6.6205
-4.0610 2.3446 6.6205
0.0000 -4.6893 6.6205
Ca Y Pa P
4 1 3 8
Direct
0.0000 0.0000 0.0000 Ca
0.0000 0.5000 0.5000 Ca
0.5000 0.0000 0.5000 Ca
0.5000 0.5000 0.0000 Ca
0.5000 0.5000 0.5000 Y
0.0000 0.0000 0.5000 Pa
0.0000 0.5000 0.0000 Pa
0.5000 0.0000 0.0000 Pa
0.2364 0.7470 0.7470 P
0.2435 0.2435 0.2435 P
0.2530 0.2530 0.7636 P
0.2530 0.7636 0.2530 P
0.7470 0.2364 0.7470 P
0.7470 0.7470 0.2364 P
0.7565 0.7565 0.7565 P
0.7636 0.2530 0.2530 P
```

## Properties
SG: R-3m (166)
ΔH_f (0 K) in eV/f.u.: -20.8
Size of the total moment in μB per formula unit: 0.00

=====

[4]
# Ca3YPa2P6

Ca3YPa2P6 after structural relaxation (PBE, the Alexandria database).

The structure in POSCAR format:
```
Ca3YPa2P6
1.0
3.5191 -6.0940 0.0000
3.5191 6.0940 0.0000
-2.3448 0.0000 6.6343
Ca Y Pa P
3 1 2 6
Direct
0.0000 0.0000 0.0000 Ca
0.3351 0.6649 0.0000 Ca
0.6649 0.3351 0.0000 Ca
0.5000 0.5000 0.5000 Y
0.1669 0.8331 0.5000 Pa
0.8331 0.1669 0.5000 Pa
0.0815 0.4232 0.2697 P
0.2355 0.2355 0.7312 P
0.4232 0.0815 0.2697 P
0.5768 0.9185 0.7303 P
0.7645 0.7645 0.2688 P
0.9185 0.5768 0.7303 P
```

## Properties
SG: C2/m (12)
ΔH_f (0 K) in eV/f.u.: -15.9
Size of the total moment in μB per formula unit: 0.00

=====

[5]
# Ca4Pa3ZnP8

Ca4Pa3ZnP8 after structural relaxation (PBE, the Alexandria database).

The structure in POSCAR format:
```
Ca4Pa3ZnP8
1.0
4.0303 2.3269 6.6086
-4.0303 2.3269 6.6086
0.0000 -4.6538 6.6086
Ca Pa Zn P
4 3 1 8
Direct
0.0000 0.0000 0.0000 Ca
0.0000 0.5000 0.5000 Ca
0.5000 0.0000 0.5000 Ca
0.5000 0.5000 0.0000 Ca
0.0000 0.0000 0.5000 Pa
0.0000 0.5000 0.0000 Pa
0.5000 0.0000 0.0000 Pa
0.5000 0.5000 0.5000 Zn
0.2395 0.7428 0.7428 P
0.2440 0.2440 0.2440 P
0.2572 0.2572 0.7605 P
0.2572 0.7605 0.2572 P
0.7428 0.2395 0.7428 P
0.7428 0.7428 0.2395 P
0.7560 0.7560 0.7560 P
0.7605 0.2572 0.2572 P
```

## Properties
SG: R-3m (166)
ΔH_f (0 K) in eV/f.u.: -16.7
Size of the total moment in μB per formula unit: 0.00

=====

[6]
# Ca2ZrPaP4

Ca2ZrPaP4 after structural relaxation (PBE, the Alexandria database).

The structure in POSCAR format:
```
Ca2ZrPaP4
1.0
6.8236 0.0000 0.0000
0.0000 3.9716 0.0000
-2.2662 0.0000 6.6172
Ca Zr Pa P
2 1 1 4
Direct
0.0000 0.0000 0.0000 Ca
0.5000 0.5000 0.0000 Ca
0.0000 0.5000 0.5000 Zr
0.5000 0.0000 0.5000 Pa
0.2382 0.0000 0.7260 P
0.2511 0.5000 0.2709 P
0.7489 0.5000 0.7291 P
0.7618 0.0000 0.2740 P
```

## Properties
SG: P2/m (10)
ΔH_f (0 K) in eV/f.u.: -10.2
Size of the total moment in μB per formula unit: 0.00

=====

[7]
# Ca3ZrPa2P6

Ca3ZrPa2P6 after structural relaxation (PBE, the Alexandria database).

The structure in POSCAR format:
```
Ca3ZrPa2P6
1.0
3.4540 -5.9826 0.0000
3.4540 5.9826 0.0000
-2.3039 0.0000 6.6161
Ca Zr Pa P
3 1 2 6
Direct
0.0000 0.0000 0.0000 Ca
0.3326 0.6674 0.0000 Ca
0.6674 0.3326 0.0000 Ca
0.5000 0.5000 0.5000 Zr
0.1666 0.8334 0.5000 Pa
0.8334 0.1666 0.5000 Pa
0.0952 0.4240 0.2718 P
0.2477 0.2477 0.7291 P
0.4240 0.0952 0.2718 P
0.5760 0.9048 0.7282 P
0.7523 0.7523 0.2709 P
0.9048 0.5760 0.7282 P
```

## Properties
SG: C2/m (12)
ΔH_f (0 K) in eV/f.u.: -15.3
Size of the total moment in μB per formula unit: 0.00

=====

[8]
# CaZrPa2P4

CaZrPa2P4 after structural relaxation (PBE, the Alexandria database).

The structure in POSCAR format:
```
CaZrPa2P4
1.0
-2.7849 2.7849 5.5646
2.7849 -2.7849 5.5646
2.7849 2.7849 -5.5646
Ca Zr Pa P
1 1 2 4
Direct
0.0000 0.0000 0.0000 Ca
0.2500 0.7500 0.5000 Zr
0.5000 0.5000 0.0000 Pa
0.7500 0.2500 0.5000 Pa
0.0032 0.5032 0.5000 P
0.2533 0.2533 0.0000 P
0.4968 0.9968 0.5000 P
0.7467 0.7467 0.0000 P
```

## Properties
SG: I-4m2 (119)
ΔH_f (0 K) in eV/f.u.: -10.1
Size of the total moment in μB per formula unit: 0.00